Compound: LuNiTe2
Source: the Alexandria database
Functional: PBE
Structure: relaxed

ΔE_f (raw) (eV/atom): -0.1639
Density (g cm⁻³): 7.58
Symmetry: R-3m (166)

Unit cell a=3.733 b=3.733 c=9.128 alpha=78.20 beta=78.20 gamma=60.00
Positions (direct):
Te  0.887  0.887  0.338
Te  0.113  0.113  0.662
Ni  0.500  0.500  0.500
Lu  0.000  0.000  0.000